Record 1
# Y2PuCdO8, relaxed, DFT PBE
data_Y2PuCdO8
_space_group_name_H-M_alt 'P 1 2/m 1'
_space_group_IT_number 10
_cell_length_a 5.020
_cell_length_b 7.187
_cell_length_c 5.026
_cell_angle_alpha 90.00
_cell_angle_beta 92.48
_cell_angle_gamma 90.00
loop_
_space_group_symop_operation_xyz
'x,y,z'
'-x,-y,-z'
'-x,y,-z'
'x,-y,z'
loop_
_atom_site_label
_atom_site_type_symbol
_atom_site_fract_x
_atom_site_fract_y
_atom_site_fract_z
Y1 Y 0.000 0.239 0.000
Pu1 Pu 0.500 0.500 0.500
Cd1 Cd 0.500 0.000 0.500
O1 O 0.196 0.000 0.197
O2 O 0.210 0.500 0.213
O3 O 0.315 0.299 0.687
# DFT total energy	-8.0850	eV per atom
# volume	181	Å³/cell
# DOS(E_F)	4.9	states/eV/f.u.
# E_form (uncorrected)	-2.4316	eV per atom
# ρ	6.07	Mg/m³

Record 2
# YPuCd2O6, relaxed, DFT PBE
data_YPuCd2O6
_space_group_name_H-M_alt 'R 3'
_space_group_IT_number 146
_space_group_name_Hall 'R 3'
_cell_length_a 5.7608
_cell_length_b 5.7608
_cell_length_c 15.3036
_cell_angle_alpha 90.00
_cell_angle_beta 90.00
_cell_angle_gamma 120.00
loop_
_atom_site_label
_atom_site_type_symbol
_atom_site_fract_x
_atom_site_fract_y
_atom_site_fract_z
Y1 Y 0.0000 0.0000 0.0000
Pu1 Pu 0.0000 0.0000 0.4951
Cd1 Cd 0.0000 0.0000 0.2779
Cd2 Cd 0.0000 0.0000 0.7837
O1 O 0.0444 0.3398 0.5690
O2 O 0.0543 0.6911 0.0730
# DFT total energy	-7.4858	eV per atom
# volume	440	Å³/cell
# DOS(E_F)	9.6	states/eV/f.u.
# E_form (uncorrected)	-2.2482	eV per atom
# ρ	7.40	Mg/m³

Record 3
# Y2PuCdO6, relaxed, DFT PBE
data_Y2PuCdO6
_space_group_name_H-M_alt 'R 3'
_space_group_IT_number 146
_space_group_name_Hall 'R 3'
_cell_length_a 5.8355
_cell_length_b 5.8355
_cell_length_c 15.3609
_cell_angle_alpha 90.00
_cell_angle_beta 90.00
_cell_angle_gamma 120.00
loop_
_atom_site_label
_atom_site_type_symbol
_atom_site_fract_x
_atom_site_fract_y
_atom_site_fract_z
Y1 Y 0.0000 0.0000 0.0000
Y2 Y 0.0000 0.0000 0.4939
Pu1 Pu 0.0000 0.0000 0.7061
Cd1 Cd 0.0000 0.0000 0.2163
O1 O 0.0096 0.7208 0.6069
O2 O 0.0317 0.3601 0.7679
# DFT total energy	-8.6098	eV per atom
# volume	453	Å³/cell
# DOS(E_F)	0.9	states/eV/f.u.
# E_form (uncorrected)	-2.8174	eV per atom
# ρ	6.93	Mg/m³

Record 4
# PuZn2CdO6, relaxed, DFT PBE
data_PuZn2CdO6
_space_group_name_H-M_alt 'P 1'
_space_group_IT_number 1
_cell_length_a 5.371
_cell_length_b 5.573
_cell_length_c 5.681
_cell_angle_alpha 66.27
_cell_angle_beta 65.08
_cell_angle_gamma 61.56
loop_
_space_group_symop_operation_xyz
'x,y,z'
loop_
_atom_site_label
_atom_site_type_symbol
_atom_site_fract_x
_atom_site_fract_y
_atom_site_fract_z
Pu1 Pu 0.000 0.000 0.000
Zn1 Zn 0.200 0.265 0.341
Zn2 Zn 0.750 0.670 0.880
Cd1 Cd 0.496 0.495 0.525
O1 O 0.094 0.374 0.700
O2 O 0.214 0.950 0.239
O3 O 0.402 0.769 0.773
O4 O 0.606 0.265 0.209
O5 O 0.797 0.055 0.751
O6 O 0.892 0.611 0.198
# DFT total energy	-6.4703	eV per atom
# volume	131	Å³/cell
# DOS(E_F)	4.3	states/eV/f.u.
# E_form (uncorrected)	-1.7159	eV per atom
# ρ	7.38	Mg/m³

Record 5
# PuZnCdO6, relaxed, DFT PBE
data_PuZnCdO6
_space_group_name_H-M_alt 'P 3 1 2'
_space_group_IT_number 149
_cell_length_a 5.3596
_cell_length_b 5.3596
_cell_length_c 4.8971
_cell_angle_alpha 90.00
_cell_angle_beta 90.00
_cell_angle_gamma 120.00
loop_
_space_group_symop_operation_xyz
'x,y,z'
'-y,x-y,z'
'-x+y,-x,z'
'-y,-x,-z'
'-x+y,y,-z'
'x,x-y,-z'
loop_
_atom_site_label
_atom_site_type_symbol
_atom_site_fract_x
_atom_site_fract_y
_atom_site_fract_z
Pu1 Pu 0.0000 0.0000 0.0000
Zn1 Zn 0.6667 0.3333 0.0000
Cd1 Cd 0.3333 0.6667 0.5000
O1 O 0.3158 0.0129 0.2241
# DFT total energy	-6.7043	eV per atom
# volume	122	Å³/cell
# DOS(E_F)	4.7	states/eV/f.u.
# E_form (uncorrected)	-1.5631	eV per atom
# ρ	7.06	Mg/m³

Record 6
# PuZrCdO6, relaxed, DFT PBE
data_PuZrCdO6
_space_group_name_H-M_alt 'P -3 1 c'
_space_group_IT_number 163
_space_group_name_Hall '-P 3 2c'
_cell_length_a 5.6217
_cell_length_b 5.6217
_cell_length_c 9.4907
_cell_angle_alpha 90.00
_cell_angle_beta 90.00
_cell_angle_gamma 120.00
loop_
_atom_site_label
_atom_site_type_symbol
_atom_site_fract_x
_atom_site_fract_y
_atom_site_fract_z
Pu1 Pu 0.3333 0.6667 0.2500
Zr1 Zr 0.3333 0.6667 0.7500
Cd1 Cd 0.0000 0.0000 0.0000
O1 O 0.0072 0.3612 0.1374
# DFT total energy	-8.3347	eV per atom
# volume	260	Å³/cell
# DOS(E_F)	6.5	states/eV/f.u.
# E_form (uncorrected)	-2.3853	eV per atom
# ρ	6.95	Mg/m³

Record 7
# Rb8CdO2, relaxed, DFT PBE
data_Rb8CdO2
_space_group_name_H-M_alt 'C 1 2/m 1'
_space_group_IT_number 12
_cell_length_a 16.548
_cell_length_b 8.695
_cell_length_c 8.275
_cell_angle_alpha 90.00
_cell_angle_beta 103.82
_cell_angle_gamma 90.00
loop_
_space_group_symop_operation_xyz
'x,y,z'
'-x,-y,-z'
'-x,y,-z'
'x,-y,z'
'x+1/2,y+1/2,z'
'-x+1/2,-y+1/2,-z'
'-x+1/2,y+1/2,-z'
'x+1/2,-y+1/2,z'
loop_
_atom_site_label
_atom_site_type_symbol
_atom_site_fract_x
_atom_site_fract_y
_atom_site_fract_z
Rb1 Rb 0.142 0.000 0.192
Rb2 Rb 0.146 0.500 0.224
Rb3 Rb 0.159 0.254 0.814
Cd1 Cd 0.000 0.000 0.500
O1 O 0.247 0.500 0.006
# DFT total energy	-2.1778	eV per atom
# volume	1156	Å³/cell
# DOS(E_F)	5.8	states/eV/f.u.
# E_form (uncorrected)	-0.4894	eV per atom
# ρ	2.38	Mg/m³

Record 8
# RbCdO, relaxed, DFT PBE
data_RbCdO
_space_group_name_H-M_alt 'C 1 2/c 1'
_space_group_IT_number 15
_cell_length_a 14.460
_cell_length_b 6.725
_cell_length_c 9.760
_cell_angle_alpha 90.00
_cell_angle_beta 127.10
_cell_angle_gamma 90.00
loop_
_space_group_symop_operation_xyz
'x,y,z'
'-x,-y,-z'
'-x,y,-z+1/2'
'x,-y,z+1/2'
'x+1/2,y+1/2,z'
'-x+1/2,-y+1/2,-z'
'-x+1/2,y+1/2,-z+1/2'
'x+1/2,-y+1/2,z+1/2'
loop_
_atom_site_label
_atom_site_type_symbol
_atom_site_fract_x
_atom_site_fract_y
_atom_site_fract_z
Rb1 Rb 0.165 0.198 0.265
Cd1 Cd 0.117 0.292 0.863
O1 O 0.225 0.047 0.049
# DFT total energy	-3.1741	eV per atom
# volume	757	Å³/cell
# DOS(E_F)	0.0	states/eV/f.u.
# E_form (uncorrected)	-0.8938	eV per atom
# ρ	3.75	Mg/m³

Record 9
# Rb2CdO, relaxed, DFT PBE
data_Rb2CdO
_space_group_name_H-M_alt 'F m -3 m'
_space_group_IT_number 225
_space_group_name_Hall '-F 4 2 3'
_cell_length_a 7.841
_cell_length_b 7.841
_cell_length_c 7.841
_cell_angle_alpha 90.00
_cell_angle_beta 90.00
_cell_angle_gamma 90.00
loop_
_atom_site_label
_atom_site_type_symbol
_atom_site_fract_x
_atom_site_fract_y
_atom_site_fract_z
Rb1 Rb 0.250 0.250 0.250
Cd1 Cd 0.000 0.000 0.000
O1 O 0.000 0.000 0.500
# DFT total energy	-2.2067	eV per atom
# volume	482	Å³/cell
# DOS(E_F)	0.0	states/eV/f.u.
# E_form (uncorrected)	-0.2546	eV per atom
# ρ	4.12	Mg/m³

Record 10
# Rb5Cd2O5, relaxed, DFT PBE
data_Rb5Cd2O5
_space_group_name_H-M_alt 'C 1 2/m 1'
_space_group_IT_number 12
_cell_length_a 13.546
_cell_length_b 3.805
_cell_length_c 10.477
_cell_angle_alpha 90.00
_cell_angle_beta 100.85
_cell_angle_gamma 90.00
loop_
_space_group_symop_operation_xyz
'x,y,z'
'-x,-y,-z'
'-x,y,-z'
'x,-y,z'
'x+1/2,y+1/2,z'
'-x+1/2,-y+1/2,-z'
'-x+1/2,y+1/2,-z'
'x+1/2,-y+1/2,z'
loop_
_atom_site_label
_atom_site_type_symbol
_atom_site_fract_x
_atom_site_fract_y
_atom_site_fract_z
Rb1 Rb 0.000 0.000 0.000
Rb2 Rb 0.143 0.000 0.548
Rb3 Rb 0.231 0.500 0.142
Cd1 Cd 0.021 0.500 0.289
O1 O 0.000 0.500 0.500
O2 O 0.114 0.000 0.276
O3 O 0.114 0.500 0.864
# DFT total energy	-3.6027	eV per atom
# volume	530	Å³/cell
# DOS(E_F)	11.8	states/eV/f.u.
# E_form (uncorrected)	-0.9811	eV per atom
# ρ	4.58	Mg/m³

Record 11
# Rb3CdO3, relaxed, DFT PBE
data_Rb3CdO3
_space_group_name_H-M_alt 'C 1 2/m 1'
_space_group_IT_number 12
_cell_length_a 7.923
_cell_length_b 11.825
_cell_length_c 7.066
_cell_angle_alpha 90.00
_cell_angle_beta 98.70
_cell_angle_gamma 90.00
loop_
_space_group_symop_operation_xyz
'x,y,z'
'-x,-y,-z'
'-x,y,-z'
'x,-y,z'
'x+1/2,y+1/2,z'
'-x+1/2,-y+1/2,-z'
'-x+1/2,y+1/2,-z'
'x+1/2,-y+1/2,z'
loop_
_atom_site_label
_atom_site_type_symbol
_atom_site_fract_x
_atom_site_fract_y
_atom_site_fract_z
Rb1 Rb 0.000 0.184 0.000
Rb2 Rb 0.000 0.252 0.500
Rb3 Rb 0.130 0.500 0.849
Cd1 Cd 0.186 0.000 0.638
O1 O 0.092 0.000 0.325
O2 O 0.180 0.357 0.223
# DFT total energy	-3.6407	eV per atom
# volume	654	Å³/cell
# DOS(E_F)	5.9	states/eV/f.u.
# E_form (uncorrected)	-0.9704	eV per atom
# ρ	4.23	Mg/m³

Record 12
# Rb6Cd2O, relaxed, DFT PBE
data_Rb6Cd2O
_space_group_name_H-M_alt 'P 1 21/c 1'
_space_group_IT_number 14
_cell_length_a 8.280
_cell_length_b 11.571
_cell_length_c 11.909
_cell_angle_alpha 90.00
_cell_angle_beta 128.05
_cell_angle_gamma 90.00
loop_
_space_group_symop_operation_xyz
'x,y,z'
'-x,-y,-z'
'-x,y+1/2,-z+1/2'
'x,-y+1/2,z+1/2'
loop_
_atom_site_label
_atom_site_type_symbol
_atom_site_fract_x
_atom_site_fract_y
_atom_site_fract_z
Rb1 Rb 0.196 0.037 0.289
Rb2 Rb 0.226 0.704 0.566
Rb3 Rb 0.297 0.126 0.018
Cd1 Cd 0.195 0.048 0.629
O1 O 0.000 0.000 0.000
# DFT total energy	-1.7352	eV per atom
# volume	899	Å³/cell
# DOS(E_F)	5.2	states/eV/f.u.
# E_form (uncorrected)	-0.3359	eV per atom
# ρ	2.79	Mg/m³

Record 13
# Rb11CdO2, relaxed, DFT PBE
data_Rb11CdO2
_space_group_name_H-M_alt 'I b a m'
_space_group_IT_number 72
_space_group_name_Hall '-I 2 2c'
_cell_length_a 15.426
_cell_length_b 15.460
_cell_length_c 14.974
_cell_angle_alpha 90.00
_cell_angle_beta 90.00
_cell_angle_gamma 90.00
loop_
_atom_site_label
_atom_site_type_symbol
_atom_site_fract_x
_atom_site_fract_y
_atom_site_fract_z
Rb1 Rb 0.000 0.000 0.000
Rb2 Rb 0.083 0.257 0.130
Rb3 Rb 0.197 0.205 0.500
Rb4 Rb 0.241 0.423 0.371
Cd1 Cd 0.000 0.500 0.250
O1 O 0.180 0.176 0.000
# DFT total energy	-1.8866	eV per atom
# volume	3571	Å³/cell
# DOS(E_F)	9.5	states/eV/f.u.
# E_form (uncorrected)	-0.3527	eV per atom
# ρ	2.02	Mg/m³

Record 14
# Rb2CdO, relaxed, DFT PBE
data_Rb2CdO
_space_group_name_H-M_alt 'I -4 2 d'
_space_group_IT_number 122
_space_group_name_Hall 'I -4 2bw'
_cell_length_a 8.729
_cell_length_b 8.729
_cell_length_c 7.874
_cell_angle_alpha 90.00
_cell_angle_beta 90.00
_cell_angle_gamma 90.00
loop_
_atom_site_label
_atom_site_type_symbol
_atom_site_fract_x
_atom_site_fract_y
_atom_site_fract_z
Rb1 Rb 0.138 0.250 0.125
Cd1 Cd 0.000 0.000 0.500
O1 O 0.000 0.000 0.000
# DFT total energy	-2.4061	eV per atom
# volume	600	Å³/cell
# DOS(E_F)	0.0	states/eV/f.u.
# E_form (uncorrected)	-0.4540	eV per atom
# ρ	3.31	Mg/m³

Record 15
# Rb3CdO3, relaxed, DFT PBE
data_Rb3CdO3
_space_group_name_H-M_alt 'P 63/m'
_space_group_IT_number 176
_space_group_name_Hall '-P 6c'
_cell_length_a 8.3707
_cell_length_b 8.3707
_cell_length_c 5.9687
_cell_angle_alpha 90.00
_cell_angle_beta 90.00
_cell_angle_gamma 120.00
loop_
_atom_site_label
_atom_site_type_symbol
_atom_site_fract_x
_atom_site_fract_y
_atom_site_fract_z
Rb1 Rb 0.0847 0.3526 0.2500
Cd1 Cd 0.3333 0.6667 0.7500
O1 O 0.0997 0.4018 0.7500
# DFT total energy	-3.6125	eV per atom
# volume	362	Å³/cell
# DOS(E_F)	6.9	states/eV/f.u.
# E_form (uncorrected)	-0.9421	eV per atom
# ρ	3.82	Mg/m³

Record 16
# Rb8Cd2O, relaxed, DFT PBE
data_Rb8Cd2O
_space_group_name_H-M_alt 'C 1 2/m 1'
_space_group_IT_number 12
_cell_length_a 15.598
_cell_length_b 8.408
_cell_length_c 10.034
_cell_angle_alpha 90.00
_cell_angle_beta 93.45
_cell_angle_gamma 90.00
loop_
_space_group_symop_operation_xyz
'x,y,z'
'-x,-y,-z'
'-x,y,-z'
'x,-y,z'
'x+1/2,y+1/2,z'
'-x+1/2,-y+1/2,-z'
'-x+1/2,y+1/2,-z'
'x+1/2,-y+1/2,z'
loop_
_atom_site_label
_atom_site_type_symbol
_atom_site_fract_x
_atom_site_fract_y
_atom_site_fract_z
Rb1 Rb 0.043 0.227 0.193
Rb2 Rb 0.171 0.000 0.913
Rb3 Rb 0.178 0.500 0.579
Cd1 Cd 0.092 0.000 0.535
O1 O 0.000 0.000 0.000
# DFT total energy	-1.5861	eV per atom
# volume	1314	Å³/cell
# DOS(E_F)	7.9	states/eV/f.u.
# E_form (uncorrected)	-0.2653	eV per atom
# ρ	2.34	Mg/m³

Record 17
# Rb14CdO, relaxed, DFT PBE
data_Rb14CdO
_space_group_name_H-M_alt 'A m m 2'
_space_group_IT_number 38
_cell_length_a 13.570
_cell_length_b 11.362
_cell_length_c 15.427
_cell_angle_alpha 90.00
_cell_angle_beta 90.00
_cell_angle_gamma 90.00
loop_
_space_group_symop_operation_xyz
'x,y,z'
'-x,-y,z'
'-x,y,z'
'x,-y,z'
'x,y+1/2,z+1/2'
'-x,-y+1/2,z+1/2'
'-x,y+1/2,z+1/2'
'x,-y+1/2,z+1/2'
loop_
_atom_site_label
_atom_site_type_symbol
_atom_site_fract_x
_atom_site_fract_y
_atom_site_fract_z
Rb1 Rb 0.000 0.000 0.000
Rb2 Rb 0.000 0.000 0.458
Rb3 Rb 0.000 0.203 0.730
Rb4 Rb 0.243 0.000 0.209
Rb5 Rb 0.311 0.000 0.879
Rb6 Rb 0.359 0.162 0.569
Rb7 Rb 0.500 0.159 0.354
Cd1 Cd 0.500 0.000 0.085
O1 O 0.500 0.000 0.496
# DFT total energy	-1.3489	eV per atom
# volume	2379	Å³/cell
# DOS(E_F)	10.7	states/eV/f.u.
# E_form (uncorrected)	-0.1352	eV per atom
# ρ	1.85	Mg/m³

Record 18
# Rb5CdO4, relaxed, DFT PBE
data_Rb5CdO4
_space_group_name_H-M_alt 'C 1 2/m 1'
_space_group_IT_number 12
_cell_length_a 14.900
_cell_length_b 4.255
_cell_length_c 9.690
_cell_angle_alpha 90.00
_cell_angle_beta 112.51
_cell_angle_gamma 90.00
loop_
_space_group_symop_operation_xyz
'x,y,z'
'-x,-y,-z'
'-x,y,-z'
'x,-y,z'
'x+1/2,y+1/2,z'
'-x+1/2,-y+1/2,-z'
'-x+1/2,y+1/2,-z'
'x+1/2,-y+1/2,z'
loop_
_atom_site_label
_atom_site_type_symbol
_atom_site_fract_x
_atom_site_fract_y
_atom_site_fract_z
Rb1 Rb 0.000 0.000 0.000
Rb2 Rb 0.159 0.500 0.359
Rb3 Rb 0.211 0.500 0.826
Cd1 Cd 0.000 0.000 0.500
O1 O 0.141 0.000 0.542
O2 O 0.141 0.500 0.060
# DFT total energy	-3.5016	eV per atom
# volume	568	Å³/cell
# DOS(E_F)	7.8	states/eV/f.u.
# E_form (uncorrected)	-0.9431	eV per atom
# ρ	3.53	Mg/m³

Record 19
# Rb5CdO5, relaxed, DFT PBE
data_Rb5CdO5
_space_group_name_H-M_alt 'C 1 2/m 1'
_space_group_IT_number 12
_cell_length_a 12.655
_cell_length_b 5.739
_cell_length_c 7.475
_cell_angle_alpha 90.00
_cell_angle_beta 108.63
_cell_angle_gamma 90.00
loop_
_space_group_symop_operation_xyz
'x,y,z'
'-x,-y,-z'
'-x,y,-z'
'x,-y,z'
'x+1/2,y+1/2,z'
'-x+1/2,-y+1/2,-z'
'-x+1/2,y+1/2,-z'
'x+1/2,-y+1/2,z'
loop_
_atom_site_label
_atom_site_type_symbol
_atom_site_fract_x
_atom_site_fract_y
_atom_site_fract_z
Rb1 Rb 0.000 0.000 0.000
Rb2 Rb 0.170 0.500 0.338
Rb3 Rb 0.187 0.500 0.810
Cd1 Cd 0.000 0.000 0.500
O1 O 0.000 0.500 0.500
O2 O 0.131 0.000 0.366
O3 O 0.138 0.000 0.785
# DFT total energy	-3.5587	eV per atom
# volume	514	Å³/cell
# DOS(E_F)	6.7	states/eV/f.u.
# E_form (uncorrected)	-0.7819	eV per atom
# ρ	4.00	Mg/m³

Record 20
# RbCdO, relaxed, DFT PBE
data_RbCdO
_space_group_name_H-M_alt 'I 41 m d'
_space_group_IT_number 109
_space_group_name_Hall 'I 4bw -2'
_cell_length_a 5.422
_cell_length_b 5.422
_cell_length_c 10.640
_cell_angle_alpha 90.00
_cell_angle_beta 90.00
_cell_angle_gamma 90.00
loop_
_atom_site_label
_atom_site_type_symbol
_atom_site_fract_x
_atom_site_fract_y
_atom_site_fract_z
Rb1 Rb 0.000 0.000 0.000
Cd1 Cd 0.000 0.000 0.470
O1 O 0.000 0.000 0.267
# DFT total energy	-2.8994	eV per atom
# volume	313	Å³/cell
# DOS(E_F)	0.7	states/eV/f.u.
# E_form (uncorrected)	-0.6191	eV per atom
# ρ	4.54	Mg/m³